[1]
First-principles (SCAN) data for a PBEsol-optimized structure of Sr2GeS8O28, as listed in the Alexandria database.

As for the space group: No. 14. As for the calculated density: 2.82 Mg/m³.

Cell and atoms, written as POSCAR:
```
Sr2GeS8O28
1.0
-3.963 0.710 -5.720
-8.431 -5.547 7.072
-4.093 11.684 4.285
Sr Ge S O
4 2 16 56
direct
0.697 0.841 0.864
0.197 0.341 0.636
0.303 0.159 0.136
0.803 0.659 0.364
0.500 0.000 0.500
0.000 0.500 0.000
0.841 0.060 0.651
0.341 0.560 0.849
0.159 0.940 0.349
0.659 0.440 0.151
0.211 0.896 0.971
0.711 0.396 0.529
0.789 0.104 0.029
0.289 0.604 0.471
0.463 0.089 0.720
0.963 0.589 0.780
0.537 0.911 0.280
0.037 0.411 0.220
0.536 0.771 0.583
0.036 0.271 0.917
0.464 0.229 0.417
0.964 0.729 0.083
0.001 0.136 0.621
0.501 0.636 0.879
0.999 0.864 0.379
0.499 0.364 0.121
0.384 0.666 0.583
0.884 0.166 0.917
0.616 0.334 0.417
0.116 0.834 0.083
0.709 0.751 0.530
0.209 0.251 0.970
0.291 0.249 0.470
0.791 0.749 0.030
0.746 0.998 0.561
0.246 0.498 0.939
0.254 0.002 0.439
0.754 0.502 0.061
0.060 0.872 0.896
0.560 0.372 0.604
0.940 0.128 0.104
0.440 0.628 0.396
0.683 0.139 0.687
0.183 0.639 0.813
0.317 0.861 0.313
0.817 0.361 0.187
0.429 0.851 0.523
0.929 0.351 0.977
0.571 0.149 0.477
0.071 0.649 0.023
0.868 0.986 0.733
0.368 0.486 0.767
0.132 0.014 0.267
0.632 0.514 0.233
0.383 0.028 0.626
0.883 0.528 0.874
0.617 0.972 0.374
0.117 0.472 0.126
0.373 0.185 0.737
0.873 0.685 0.763
0.627 0.815 0.263
0.127 0.315 0.237
0.478 0.015 0.803
0.978 0.515 0.697
0.522 0.985 0.197
0.022 0.485 0.303
0.379 0.842 0.955
0.879 0.342 0.545
0.621 0.158 0.045
0.121 0.658 0.455
0.244 0.007 0.007
0.744 0.507 0.493
0.756 0.993 0.993
0.256 0.493 0.507
0.554 0.801 0.689
0.054 0.301 0.811
0.446 0.199 0.311
0.946 0.699 0.189
```

***

[2]
First-principles (SCAN) data for a PBEsol-optimized structure of Sc2GeO5, as listed in the Alexandria database.

As for the space group: No. 15. As for the calculated density: 3.99 Mg/m³.

Cell and atoms, written as POSCAR:
```
Sc2GeO5
1.0
-6.974 -1.031 -2.730
2.372 -5.163 -4.987
-1.922 -8.012 6.710
Sc Ge O
12 6 30
direct
0.696 0.993 0.938
0.007 0.304 0.562
0.304 0.007 0.062
0.993 0.696 0.438
0.371 0.651 0.570
0.349 0.629 0.930
0.629 0.349 0.430
0.651 0.371 0.070
0.361 0.992 0.755
0.008 0.639 0.745
0.639 0.008 0.245
0.992 0.361 0.255
0.646 0.354 0.750
0.354 0.646 0.250
0.724 0.941 0.544
0.059 0.276 0.956
0.276 0.059 0.456
0.941 0.724 0.044
0.516 0.876 0.603
0.124 0.484 0.897
0.484 0.124 0.397
0.876 0.516 0.103
0.222 0.129 0.613
0.871 0.778 0.887
0.778 0.871 0.387
0.129 0.222 0.113
0.198 0.111 0.886
0.889 0.802 0.614
0.802 0.889 0.114
0.111 0.198 0.386
0.463 0.869 0.925
0.131 0.537 0.575
0.537 0.131 0.075
0.869 0.463 0.425
0.594 0.130 0.780
0.870 0.406 0.720
0.164 0.775 0.048
0.225 0.836 0.452
0.836 0.225 0.952
0.775 0.164 0.548
0.736 0.264 0.250
0.264 0.736 0.750
0.439 0.536 0.114
0.464 0.561 0.386
0.561 0.464 0.886
0.536 0.439 0.614
0.130 0.594 0.280
0.406 0.870 0.220
```

***

Asked for V across the records above, the calculation gives 1120.1, 605.8 Å³/cell in order.
Asked for final energy across the records above, the calculation gives -0.7223, -0.9537 Ry per atom in order.